# K2ZrBeSe4 PBE relaxed
# Formation energy from raw total energies, eV/atom: -0.9697
# V, Å³ per cell: 932
# Total energy, eV for the cell shown: -144.66
# Density, g/cm³: 3.52
data_K2ZrBeSe4
_cell_length_a 10.3213
_cell_length_b 11.9739
_cell_length_c 7.8032
_cell_angle_alpha 90.00
_cell_angle_beta 104.88
_cell_angle_gamma 90.00
_space_group_name_H-M_alt 'C 1 2/c 1'
_space_group_IT_number 15
loop_
_space_group_symop_operation_xyz
'x,y,z'
'-x,-y,-z'
'-x,y,-z+1/2'
'x,-y,z+1/2'
'x+1/2,y+1/2,z'
'-x+1/2,-y+1/2,-z'
'-x+1/2,y+1/2,-z+1/2'
'x+1/2,-y+1/2,z+1/2'
loop_
_atom_site_label
_atom_site_type_symbol
_atom_site_fract_x
_atom_site_fract_y
_atom_site_fract_z
K1 K 0.0000 0.0000 0.0000
K2 K 0.2500 0.2500 0.0000
Zr1 Zr 0.0000 0.5000 0.0000
Be1 Be 0.2500 0.2500 0.5000
Se1 Se 0.0606 0.2633 0.5367
Se2 Se 0.1858 0.4908 0.3132

---

# KBe2Si PBE relaxed
# Formation energy from raw total energies, eV/atom: 1.2005
# V, Å³ per cell: 71
# Total energy, eV for the cell shown: -9.17
# Density, g/cm³: 2.00
data_KBe2Si
_cell_length_a 4.3801
_cell_length_b 4.3801
_cell_length_c 3.6786
_cell_angle_alpha 90.00
_cell_angle_beta 90.00
_cell_angle_gamma 90.00
_space_group_name_H-M_alt 'P 4/m m m'
_space_group_IT_number 123
_space_group_name_Hall '-P 4 2'
loop_
_atom_site_label
_atom_site_type_symbol
_atom_site_fract_x
_atom_site_fract_y
_atom_site_fract_z
K1 K 0.0000 0.0000 0.0000
Be1 Be 0.0000 0.5000 0.5000
Si1 Si 0.5000 0.5000 0.0000

---

# KBeSi4 PBE relaxed
# Formation energy from raw total energies, eV/atom: 0.6613
# V, Å³ per cell: 419
# Total energy, eV for the cell shown: -90.19
# Density, g/cm³: 2.54
data_KBeSi4
_cell_length_a 7.4847
_cell_length_b 7.4847
_cell_length_c 7.4847
_cell_angle_alpha 90.00
_cell_angle_beta 90.00
_cell_angle_gamma 90.00
_space_group_name_H-M_alt 'F -4 3 m'
_space_group_IT_number 216
_space_group_name_Hall 'F -4 2 3'
loop_
_atom_site_label
_atom_site_type_symbol
_atom_site_fract_x
_atom_site_fract_y
_atom_site_fract_z
K1 K 0.0000 0.0000 0.0000
Be1 Be 0.2500 0.2500 0.2500
Si1 Si 0.1238 0.1238 0.6238

---

# K4BeSi PBE relaxed
# Formation energy from raw total energies, eV/atom: 0.9613
# V, Å³ per cell: 920
# Total energy, eV for the cell shown: -31.09
# Density, g/cm³: 1.40
data_K4BeSi
_cell_length_a 9.7251
_cell_length_b 9.7251
_cell_length_c 9.7251
_cell_angle_alpha 90.00
_cell_angle_beta 90.00
_cell_angle_gamma 90.00
_space_group_name_H-M_alt 'F -4 3 m'
_space_group_IT_number 216
_space_group_name_Hall 'F -4 2 3'
loop_
_atom_site_label
_atom_site_type_symbol
_atom_site_fract_x
_atom_site_fract_y
_atom_site_fract_z
K1 K 0.1245 0.1245 0.1245
Be1 Be 0.0000 0.0000 0.5000
Si1 Si 0.2500 0.2500 0.7500

---

# KBe2Si PBE relaxed
# Formation energy from raw total energies, eV/atom: 0.5478
# V, Å³ per cell: 66
# Total energy, eV for the cell shown: -11.78
# Density, g/cm³: 2.14
data_KBe2Si
_cell_length_a 2.9723
_cell_length_b 2.9723
_cell_length_c 7.4746
_cell_angle_alpha 90.00
_cell_angle_beta 90.00
_cell_angle_gamma 90.00
_space_group_name_H-M_alt 'P 4 m m'
_space_group_IT_number 99
loop_
_space_group_symop_operation_xyz
'x,y,z'
'-y,x,z'
'-x,-y,z'
'y,-x,z'
'-x,y,z'
'y,x,z'
'x,-y,z'
'-y,-x,z'
loop_
_atom_site_label
_atom_site_type_symbol
_atom_site_fract_x
_atom_site_fract_y
_atom_site_fract_z
K1 K 0.0000 0.0000 0.0000
Be1 Be 0.0000 0.0000 0.5359
Be2 Be 0.5000 0.5000 0.6481
Si1 Si 0.5000 0.5000 0.3469

---

# K2Be2Si PBE relaxed
# Formation energy from raw total energies, eV/atom: 0.6582
# V, Å³ per cell: 213
# Total energy, eV for the cell shown: -23.56
# Density, g/cm³: 1.94
data_K2Be2Si
_cell_length_a 3.0570
_cell_length_b 3.0570
_cell_length_c 22.7936
_cell_angle_alpha 90.00
_cell_angle_beta 90.00
_cell_angle_gamma 90.00
_space_group_name_H-M_alt 'I 4/m m m'
_space_group_IT_number 139
_space_group_name_Hall '-I 4 2'
loop_
_atom_site_label
_atom_site_type_symbol
_atom_site_fract_x
_atom_site_fract_y
_atom_site_fract_z
K1 K 0.0000 0.0000 0.1139
Be1 Be 0.0000 0.5000 0.2500
Si1 Si 0.0000 0.0000 0.5000

---

# KBe2Si PBE relaxed
# Formation energy from raw total energies, eV/atom: 1.1146
# V, Å³ per cell: 141
# Total energy, eV for the cell shown: -19.03
# Density, g/cm³: 2.01
data_KBe2Si
_cell_length_a 6.2069
_cell_length_b 9.8493
_cell_length_c 2.4888
_cell_angle_alpha 90.00
_cell_angle_beta 111.95
_cell_angle_gamma 90.00
_space_group_name_H-M_alt 'C 1 2/m 1'
_space_group_IT_number 12
loop_
_space_group_symop_operation_xyz
'x,y,z'
'-x,-y,-z'
'-x,y,-z'
'x,-y,z'
'x+1/2,y+1/2,z'
'-x+1/2,-y+1/2,-z'
'-x+1/2,y+1/2,-z'
'x+1/2,-y+1/2,z'
loop_
_atom_site_label
_atom_site_type_symbol
_atom_site_fract_x
_atom_site_fract_y
_atom_site_fract_z
K1 K 0.0000 0.0000 0.0000
Be1 Be 0.2500 0.2500 0.5000
Si1 Si 0.0000 0.5000 0.0000

---

# KBe2Si PBE relaxed
# Formation energy from raw total energies, eV/atom: 0.6055
# V, Å³ per cell: 69
# Total energy, eV for the cell shown: -11.55
# Density, g/cm³: 2.04
data_KBe2Si
_cell_length_a 2.6473
_cell_length_b 3.5722
_cell_length_c 7.3438
_cell_angle_alpha 90.00
_cell_angle_beta 90.00
_cell_angle_gamma 90.00
_space_group_name_H-M_alt 'P m m m'
_space_group_IT_number 47
loop_
_space_group_symop_operation_xyz
'x,y,z'
'-x,-y,-z'
'-x,-y,z'
'x,y,-z'
'x,-y,-z'
'-x,y,z'
'-x,y,-z'
'x,-y,z'
loop_
_atom_site_label
_atom_site_type_symbol
_atom_site_fract_x
_atom_site_fract_y
_atom_site_fract_z
K1 K 0.0000 0.0000 0.0000
Be1 Be 0.5000 0.5000 0.3541
Si1 Si 0.0000 0.0000 0.5000

---

Number 1: spin magnetization 0.00 μB per formula unit. Number 2: spin magnetization 0.00 μB per formula unit. Number 3: spin magnetization 0.00 μB per formula unit. Number 4: spin magnetization 0.00 μB per formula unit. Number 5: spin magnetization 0.00 μB per formula unit. Number 6: spin magnetization 0.00 μB per formula unit. Number 7: spin magnetization 0.00 μB per formula unit. Number 8: spin magnetization 0.00 μB per formula unit.